DFT (PBE) results for an optimized crystal structure of SrGeHBr2.

Fermi-level density of states: 3.5 states/eV/cell
crystal system: tetragonal
total DFT energy (no corrections): -3.079 eV per atom

a = 5.4481 Å, b = 3.7845 Å, c = 5.4481 Å
α = 90.00°, β = 90.00°, γ = 90.00°
With the nearest neighbours (Å) after each atom.
Positions (direct):
Sr1 0.5000 0.5000 0.5000  8 Br 3.32
Ge1 0.0000 0.5000 0.0000  2 H 1.89
Br1 0.0000 0.0000 0.5000  2 H 2.72
Br2 0.5000 0.0000 0.0000  2 H 2.72
H1 0.0000 0.0000 0.0000  2 Ge 1.89